[1]
Here is a crystal of YW3I relaxed with PBEsol from the Alexandria database. Energies are from meta-GGA SCAN.

Results
* formation energy from raw total energies: 3.52 eV per atom
* symmetry: No. 221

POSCAR file:
```
YW3I
1.0
4.8587 0.0000 0.0000
0.0000 4.8587 0.0000
0.0000 0.0000 4.8587
Y W I
1 3 1
direct
0.0000 0.0000 0.0000
0.0000 0.0000 0.5000
0.0000 0.5000 0.0000
0.5000 0.0000 0.0000
0.5000 0.5000 0.5000
```

=====

[2]
Here is a crystal of TaAl2As relaxed with PBEsol from the Alexandria database. Energies are from meta-GGA SCAN.

Results
* symmetry: No. 119

POSCAR file:
```
TaAl2As
1.0
-1.9427 1.9427 4.2839
1.9427 -1.9427 4.2839
1.9427 1.9427 -4.2839
Ta Al As
1 2 1
direct
0.0000 0.0000 0.0000
0.5000 0.5000 0.0000
0.7500 0.2500 0.5000
0.2500 0.7500 0.5000
```

=====

[3]
Here is a crystal of Re2NiOs relaxed with PBEsol from the Alexandria database. Energies are from meta-GGA SCAN.

Results
* symmetry: No. 25

POSCAR file:
```
Re2NiOs
1.0
2.7158 0.0000 0.0000
0.0000 4.2586 0.0000
0.0000 0.0000 4.6576
Re Ni Os
2 1 1
direct
0.0000 0.0000 0.0000
0.0000 0.5000 0.3382
0.5000 0.5000 0.8483
0.5000 0.0000 0.5183
```

=====

[4]
Here is a crystal of Hf3GeSe relaxed with PBEsol from the Alexandria database. Energies are from meta-GGA SCAN.

Results
* formation energy from raw total energies: 0.33 eV per atom
* symmetry: No. 221

POSCAR file:
```
Hf3GeSe
1.0
4.8440 0.0000 0.0000
0.0000 4.8440 0.0000
0.0000 0.0000 4.8440
Hf Ge Se
3 1 1
direct
0.0000 0.0000 0.5000
0.0000 0.5000 0.0000
0.5000 0.0000 0.0000
0.5000 0.5000 0.5000
0.0000 0.0000 0.0000
```

=====

[5]
Here is a crystal of Ba2TaCoO6 relaxed with PBEsol from the Alexandria database. Energies are from meta-GGA SCAN.

Results
* formation energy from raw total energies: -2.76 eV per atom
* symmetry: No. 225

POSCAR file:
```
Ba2TaCoO6
1.0
0.0000 3.9607 3.9607
3.9607 0.0000 3.9607
3.9607 3.9607 0.0000
Ba Ta Co O
2 1 1 6
direct
0.2500 0.2500 0.2500
0.7500 0.7500 0.7500
0.0000 0.0000 0.0000
0.5000 0.5000 0.5000
0.2526 0.2526 0.7474
0.2526 0.7474 0.2526
0.2526 0.7474 0.7474
0.7474 0.2526 0.2526
0.7474 0.2526 0.7474
0.7474 0.7474 0.2526
```

=====

[6]
Here is a crystal of Ca2FeRe relaxed with PBEsol from the Alexandria database. Energies are from meta-GGA SCAN.

Results
* symmetry: No. 6

POSCAR file:
```
Ca2FeRe
1.0
3.0760 0.0000 0.0000
0.0000 3.0760 0.0000
-0.0109 0.0000 8.8873
Ca Fe Re
2 1 1
direct
0.0000 0.0000 0.0000
0.4975 0.5000 0.3890
0.4990 0.5000 0.7609
0.9985 0.0000 0.6414
```

=====

[7]
Here is a crystal of CuSbTe2C relaxed with PBEsol from the Alexandria database. Energies are from meta-GGA SCAN.

Results
* formation energy from raw total energies: 1.73 eV per atom
* symmetry: No. 123

POSCAR file:
```
CuSbTe2C
1.0
5.0517 0.0000 0.0000
0.0000 5.0517 0.0000
0.0000 0.0000 4.8622
Cu Sb Te C
1 1 2 1
direct
0.0000 0.0000 0.0000
0.0000 0.0000 0.5000
0.0000 0.5000 0.0000
0.5000 0.0000 0.0000
0.5000 0.5000 0.5000
```

=====

[8]
Here is a crystal of CdCuNi relaxed with PBEsol from the Alexandria database. Energies are from meta-GGA SCAN.

Results
* symmetry: No. 107

POSCAR file:
```
CdCuNi
1.0
-1.4470 1.4470 4.8246
1.4470 -1.4470 4.8246
1.4470 1.4470 -4.8246
Cd Cu Ni
1 1 1
direct
0.0000 0.0000 0.0000
0.3147 0.3147 0.0000
0.6793 0.6793 0.0000
```

=====

| no. | calculated total energy (eV per atom) |
| --- | --- |
| 1 | -51.207 |
| 2 | -25.602 |
| 3 | -57.632 |
| 4 | -45.109 |
| 5 | -22.801 |
| 6 | -26.693 |
| 7 | -25.682 |
| 8 | -20.483 |